The following is a PBE calculation of a relaxed NaGa2S2 crystal, from the Alexandria database.

Output
theoretical density: 3.731 Mg/m³
ΔE_f (raw): -0.53 eV per atom
volume: 20.17 Å³/atom
calculated total energy: -3.652 eV/atom

a b c (Å): 4.8512 4.8512 8.5689
angles (deg): 90.00 90.00 90.00
Space group I4/mmm (No. 139)
One atom of each set of equivalent atoms:
Na 0.0000 0.0000 0.0000 (multiplicity 2)
Ga 0.0000 0.0000 0.3500 (multiplicity 4)
S 0.0000 0.5000 0.2500 (multiplicity 4)